[1]
This record from Alexandria via LeMat-Bulk describes a relaxed KBaLiF4 crystal. The functional is GGA-PBE.

Cell and atoms, written as CIF:
```
data_KBaLiF4
_cell_length_a 5.6091
_cell_length_b 5.5325
_cell_length_c 7.6279
_cell_angle_alpha 90.00
_cell_angle_beta 111.57
_cell_angle_gamma 90.00
_symmetry_space_group_name_H-M 'P 1'
_symmetry_Int_Tables_number 1
loop_
_symmetry_equiv_pos_as_xyz
'x,y,z'
loop_
_atom_site_label
_atom_site_type_symbol
_atom_site_fract_x
_atom_site_fract_y
_atom_site_fract_z
F1 F 0.5000 0.0000 0.5000
F2 F 0.5000 0.5000 0.5000
F3 F 0.5893 0.2500 0.1787
F4 F 0.0688 0.7500 0.1376
F5 F 0.0000 0.5000 0.5000
F6 F 0.9312 0.2500 0.8624
F7 F 0.4107 0.7500 0.8213
F8 F 0.0000 0.0000 0.5000
Li1 Li 0.7332 0.2500 0.4663
Li2 Li 0.2668 0.7500 0.5337
Ba1 Ba 0.1182 0.2500 0.2365
Ba2 Ba 0.8818 0.7500 0.7635
K1 K 0.6067 0.7500 0.2133
K2 K 0.3933 0.2500 0.7867
```

* energy relative to the elements, uncorrected: -3.2662 eV per atom
* magnetic moment: 0.0 μB/cell
* E_tot: -5.0404 eV per atom
* space group: Cmcm

***

[2]
This record from Alexandria via LeMat-Bulk describes a relaxed K2BaMgF crystal. The functional is GGA-PBE.

Cell and atoms, written as CIF:
```
data_K2BaMgF
_cell_length_a 5.7389
_cell_length_b 5.7389
_cell_length_c 5.5976
_cell_angle_alpha 90.00
_cell_angle_beta 90.00
_cell_angle_gamma 90.00
_symmetry_space_group_name_H-M 'P 1'
_symmetry_Int_Tables_number 1
loop_
_symmetry_equiv_pos_as_xyz
'x,y,z'
loop_
_atom_site_label
_atom_site_type_symbol
_atom_site_fract_x
_atom_site_fract_y
_atom_site_fract_z
F1 F 0.0000 0.0000 0.0000
K1 K 0.5000 0.0000 0.0000
K2 K 0.0000 0.5000 0.0000
Ba1 Ba 0.0000 0.0000 0.5000
Mg1 Mg 0.5000 0.5000 0.5000
```

* energy relative to the elements, uncorrected: -0.9809 eV per atom
* magnetic moment: 0.0 μB/cell
* E_tot: -2.4976 eV per atom
* space group: P4/mmm